Record 1
The following is a PBE-GGA calculation of a geometry-optimized CsCd2GaCo structure, from Alexandria via LeMat-Bulk.

Computed properties:
D(E_F): 2.02 states/eV per cell
total magnetic moment: 0.00 μB/f.u.
calculated formation energy: 0.07 eV per atom

a = 5.2956 Å, b = 5.2956 Å, c = 4.7104 Å
α = 90.00°, β = 90.00°, γ = 90.00°
Element x y z (fractional)
Cs 0.0000 0.0000 0.0000
Cd 0.0000 0.5000 0.5000
Cd 0.5000 0.0000 0.5000
Ga 0.5000 0.5000 0.0000
Co 0.5000 0.5000 0.5000

---

Record 2
The following is a PBE-GGA calculation of a geometry-optimized MgAg2Os structure, from Alexandria via LeMat-Bulk.

Computed properties:
D(E_F): 3.26 states/eV per cell
total magnetic moment: 0.00 μB/f.u.
calculated formation energy: 0.44 eV per atom

a = 4.6318 Å, b = 4.6318 Å, c = 3.0920 Å
α = 90.00°, β = 90.00°, γ = 90.00°
Element x y z (fractional)
Mg 0.0000 0.0000 0.0000
Ag 0.0000 0.5000 0.5000
Ag 0.5000 0.0000 0.5000
Os 0.5000 0.5000 0.0000

---

Record 3
The following is a PBE-GGA calculation of a geometry-optimized Nb2ReOs6 structure, from Alexandria via LeMat-Bulk.

Computed properties:
D(E_F): 15.67 states/eV per cell
total magnetic moment: 0.00 μB/f.u.
calculated formation energy: 0.10 eV per atom

a = 6.9202 Å, b = 6.9202 Å, c = 7.1090 Å
α = 114.64°, β = 114.64°, γ = 86.00°
Element x y z (fractional)
Nb 0.0906 0.2801 0.4293
Nb 0.2801 0.0906 0.9293
Nb 0.7199 0.9094 0.0707
Nb 0.9094 0.7199 0.5707
Re 0.3342 0.6658 0.7500
Re 0.6658 0.3342 0.2500
Os 0.1048 0.8389 0.0479
Os 0.1188 0.4417 0.8744
Os 0.1611 0.8952 0.4521
Os 0.3138 0.4850 0.3178
Os 0.4417 0.1188 0.3744
Os 0.4850 0.3138 0.8178
Os 0.5150 0.6862 0.1822
Os 0.5583 0.8812 0.6256
Os 0.6862 0.5150 0.6822
Os 0.8389 0.1048 0.5479
Os 0.8812 0.5583 0.1256
Os 0.8952 0.1611 0.9521

---

Record 4
The following is a PBE-GGA calculation of a geometry-optimized Ce6Ir2SeI3 structure, from Alexandria via LeMat-Bulk.

Computed properties:
D(E_F): 35.43 states/eV per cell
E_form (uncorrected): -1.0343 eV per atom
total magnetic moment: 6.42 μB/f.u.

a = 7.3424 Å, b = 7.3424 Å, c = 8.1359 Å
α = 98.64°, β = 98.64°, γ = 119.96°
Element x y z (fractional)
Ce 0.0842 0.4346 0.8052
Ce 0.2137 0.2137 0.1924
Ce 0.4346 0.0842 0.8052
Ce 0.5654 0.9158 0.1948
Ce 0.7863 0.7863 0.8076
Ce 0.9158 0.5654 0.1948
Ir 0.1672 0.8328 0.0000
Ir 0.8328 0.1672 0.0000
Se 0.5000 0.5000 0.0000
I 0.0000 0.0000 0.5000
I 0.3386 0.6614 0.5000
I 0.6614 0.3386 0.5000

---

Record 5
The following is a PBE-GGA calculation of a geometry-optimized CsCrC3 structure, from Alexandria via LeMat-Bulk.

Computed properties:
D(E_F): 5.69 states/eV per cell
energy above the most stable polymorph in this dataset: 2.772 eV per atom
total magnetic moment: 0.41 μB/f.u.
calculated formation energy: 4.63 eV per atom

a = 4.4350 Å, b = 4.4350 Å, c = 4.4350 Å
α = 90.00°, β = 90.00°, γ = 90.00°
Element x y z (fractional)
Cs 0.0000 0.0000 0.0000
Cr 0.5000 0.5000 0.5000
C 0.0000 0.0000 0.5000
C 0.0000 0.5000 0.0000
C 0.5000 0.0000 0.0000

---

Record 6
The following is a PBE-GGA calculation of a geometry-optimized Rb2HfGaTe5 structure, from Alexandria via LeMat-Bulk.

Computed properties:
D(E_F): 6.81 states/eV per cell
E_form (uncorrected): -0.7258 eV per atom
total magnetic moment: 0.00 μB/f.u.

a = 11.3648 Å, b = 11.3648 Å, c = 15.9515 Å
α = 90.00°, β = 90.00°, γ = 159.47°
Element x y z (fractional)
Rb 0.1245 0.8755 0.5000
Rb 0.1398 0.8602 0.8691
Rb 0.8602 0.1398 0.3691
Rb 0.8755 0.1245 0.0000
Hf 0.2027 0.7973 0.2049
Hf 0.7973 0.2027 0.7049
Ga 0.4250 0.5750 0.5945
Ga 0.5750 0.4250 0.0945
Te 0.0648 0.9352 0.2020
Te 0.3045 0.6955 0.8294
Te 0.3057 0.6943 0.5686
Te 0.3267 0.6733 0.1814
Te 0.4869 0.5131 0.4566
Te 0.5131 0.4869 0.9566
Te 0.6733 0.3267 0.6814
Te 0.6943 0.3057 0.0686
Te 0.6955 0.3045 0.3294
Te 0.9352 0.0648 0.7020

---

Record 7
The following is a PBE-GGA calculation of a geometry-optimized Cs2LiI structure, from Alexandria via LeMat-Bulk.

Computed properties:
D(E_F): 0.00 states/eV per cell
energy above the most stable polymorph in this dataset: 0.086 eV per atom
E_form (uncorrected): -0.5342 eV per atom
total magnetic moment: 0.00 μB/f.u.

a = 6.8472 Å, b = 6.8472 Å, c = 6.8472 Å
α = 60.00°, β = 60.00°, γ = 60.00°
Element x y z (fractional)
Cs 0.2500 0.2500 0.2500
Cs 0.7500 0.7500 0.7500
Li 0.0000 0.0000 0.0000
I 0.5000 0.5000 0.5000

---

Record 8
The following is a PBE-GGA calculation of a geometry-optimized GdDySi structure, from Alexandria via LeMat-Bulk.

Computed properties:
D(E_F): 2.06 states/eV per cell
energy above the most stable polymorph in this dataset: 0.181 eV per atom
E_form (uncorrected): -0.2921 eV per atom
total magnetic moment: 7.18 μB/f.u.

a = 4.6626 Å, b = 4.6626 Å, c = 4.1268 Å
α = 90.00°, β = 90.00°, γ = 120.00°
Element x y z (fractional)
Gd 0.0000 0.0000 0.0000
Dy 0.6667 0.3333 0.4692
Si 0.3333 0.6667 0.6799

---

Record 9
The following is a PBE-GGA calculation of a geometry-optimized SiPPbO6 structure, from Alexandria via LeMat-Bulk.

Computed properties:
D(E_F): 3.08 states/eV per cell
E_form (uncorrected): -1.8913 eV per atom
total magnetic moment: 0.00 μB/f.u.

a = 4.7307 Å, b = 4.7307 Å, c = 5.0470 Å
α = 90.00°, β = 90.00°, γ = 120.00°
Element x y z (fractional)
Si 0.0000 0.0000 0.0000
P 0.6667 0.3333 0.0000
Pb 0.3333 0.6667 0.5000
O 0.3436 0.0575 0.1914
O 0.3436 0.2860 0.8086
O 0.7140 0.0575 0.8086
O 0.7140 0.6564 0.1914
O 0.9425 0.2860 0.1914
O 0.9425 0.6564 0.8086

---

Record 10
The following is a PBE-GGA calculation of a geometry-optimized NdTmS structure, from Alexandria via LeMat-Bulk.

Computed properties:
D(E_F): 1.22 states/eV per cell
energy above the most stable polymorph in this dataset: 0.000 eV per atom
E_form (uncorrected): -1.2373 eV per atom
total magnetic moment: 0.02 μB/f.u.

a = 3.8133 Å, b = 3.8133 Å, c = 6.4515 Å
α = 90.00°, β = 90.00°, γ = 120.00°
Element x y z (fractional)
Nd 0.0000 0.0000 0.0000
Tm 0.3333 0.6667 0.4747
S 0.6667 0.3333 0.7184

---

Record 11
The following is a PBE-GGA calculation of a geometry-optimized Nd4TlIn2Hg structure, from Alexandria via LeMat-Bulk.

Computed properties:
D(E_F): 9.46 states/eV per cell
total magnetic moment: 0.00 μB/f.u.
calculated formation energy: -0.46 eV per atom

a = 9.5137 Å, b = 9.5137 Å, c = 9.5137 Å
α = 33.52°, β = 33.52°, γ = 33.52°
Element x y z (fractional)
Nd 0.1233 0.1233 0.1233
Nd 0.3733 0.3733 0.3733
Nd 0.6267 0.6267 0.6267
Nd 0.8767 0.8767 0.8767
Tl 0.5000 0.5000 0.5000
In 0.2502 0.2502 0.2502
In 0.7498 0.7498 0.7498
Hg 0.0000 0.0000 0.0000

---

Record 12
The following is a PBE-GGA calculation of a geometry-optimized Cs2Li3PbI8 structure, from Alexandria via LeMat-Bulk.

Computed properties:
D(E_F): 8.48 states/eV per cell
E_form (uncorrected): -1.0005 eV per atom
total magnetic moment: 0.00 μB/f.u.

a = 10.9255 Å, b = 10.9255 Å, c = 10.9255 Å
α = 49.28°, β = 49.28°, γ = 49.28°
Element x y z (fractional)
Cs 0.0000 0.0000 0.0000
Cs 0.3505 0.3505 0.3505
Li 0.0247 0.0247 0.4191
Li 0.0247 0.4191 0.0247
Li 0.4191 0.0247 0.0247
Pb 0.5535 0.5535 0.5535
I 0.1542 0.7371 0.7371
I 0.2219 0.2219 0.2219
I 0.2593 0.2593 0.7852
I 0.2593 0.7852 0.2593
I 0.6559 0.6559 0.6559
I 0.7371 0.1542 0.7371
I 0.7371 0.7371 0.1542
I 0.7852 0.2593 0.2593

---

Record 13
The following is a PBE-GGA calculation of a geometry-optimized CeEr2ThN4 structure, from Alexandria via LeMat-Bulk.

Computed properties:
D(E_F): 3.60 states/eV per cell
E_form (uncorrected): -1.6363 eV per atom
total magnetic moment: 0.44 μB/f.u.

a = 6.1070 Å, b = 3.5286 Å, c = 6.1158 Å
α = 90.00°, β = 109.43°, γ = 90.00°
Element x y z (fractional)
Ce 0.0000 0.0000 0.0000
Er 0.0000 0.5000 0.5000
Er 0.5000 0.0000 0.5000
Th 0.5000 0.5000 0.0000
N 0.2471 0.0000 0.7415
N 0.2526 0.5000 0.2575
N 0.7474 0.5000 0.7425
N 0.7529 0.0000 0.2585

---

Record 14
The following is a PBE-GGA calculation of a geometry-optimized Li2BeCr structure, from Alexandria via LeMat-Bulk.

Computed properties:
D(E_F): 2.18 states/eV per cell
total magnetic moment: 0.00 μB/f.u.
calculated formation energy: 0.41 eV per atom

a = 2.2599 Å, b = 4.3933 Å, c = 4.6677 Å
α = 90.00°, β = 90.00°, γ = 90.00°
Element x y z (fractional)
Li 0.0000 0.0000 0.0000
Li 0.5000 0.5000 0.0000
Be 0.0000 0.5000 0.5000
Cr 0.5000 0.0000 0.5000

---

Record 15
The following is a PBE-GGA calculation of a geometry-optimized TaAs2Ir structure, from Alexandria via LeMat-Bulk.

Computed properties:
D(E_F): 3.66 states/eV per cell
energy above the most stable polymorph in this dataset: 0.284 eV per atom
total magnetic moment: 0.00 μB/f.u.
calculated formation energy: 0.07 eV per atom

a = 4.4475 Å, b = 4.4475 Å, c = 5.4080 Å
α = 98.84°, β = 98.84°, γ = 38.27°
Element x y z (fractional)
Ta 0.0000 0.0000 0.0000
As 0.2505 0.2505 0.7472
As 0.7495 0.7495 0.2528
Ir 0.5000 0.5000 0.5000

---

Record 16
The following is a PBE-GGA calculation of a geometry-optimized V5ReMo6 structure, from Alexandria via LeMat-Bulk.

Computed properties:
D(E_F): 6.55 states/eV per cell
total magnetic moment: 0.00 μB/f.u.
calculated formation energy: -0.16 eV per atom

a = 6.8987 Å, b = 6.8987 Å, c = 6.1750 Å
α = 90.00°, β = 90.00°, γ = 143.13°
Element x y z (fractional)
V 0.0000 0.0000 0.0000
V 0.3327 0.6673 0.5000
V 0.3336 0.6664 0.0000
V 0.6664 0.3336 0.0000
V 0.6673 0.3327 0.5000
Re 0.0000 0.0000 0.5000
Mo 0.1674 0.8326 0.2492
Mo 0.1674 0.8326 0.7508
Mo 0.5000 0.5000 0.2472
Mo 0.5000 0.5000 0.7528
Mo 0.8326 0.1674 0.2492
Mo 0.8326 0.1674 0.7508

---

Record 17
The following is a PBE-GGA calculation of a geometry-optimized V2CoPd8 structure, from Alexandria via LeMat-Bulk.

Computed properties:
D(E_F): 9.36 states/eV per cell
total magnetic moment: 1.85 μB/f.u.
calculated formation energy: -0.09 eV per atom

a = 6.9889 Å, b = 6.9889 Å, c = 6.9889 Å
α = 146.20°, β = 117.53°, γ = 72.95°
Element x y z (fractional)
V 0.1972 0.1972 0.0000
V 0.8028 0.8028 0.0000
Co 0.5000 0.5000 0.0000
Pd 0.0619 0.3408 0.7211
Pd 0.1875 0.0000 0.1875
Pd 0.3546 0.8546 0.5000
Pd 0.3803 0.6592 0.7211
Pd 0.6197 0.3408 0.2789
Pd 0.6454 0.1454 0.5000
Pd 0.8125 0.0000 0.8125
Pd 0.9381 0.6592 0.2789

---

Record 18
The following is a PBE-GGA calculation of a geometry-optimized ZrSb2Pt structure, from Alexandria via LeMat-Bulk.

Computed properties:
D(E_F): 3.23 states/eV per cell
E_form (uncorrected): -0.5024 eV per atom
total magnetic moment: 0.27 μB/f.u.

a = 3.1390 Å, b = 4.2871 Å, c = 7.6295 Å
α = 90.00°, β = 101.59°, γ = 90.00°
Element x y z (fractional)
Zr 0.0000 0.0000 0.0000
Sb 0.3937 0.5000 0.7816
Sb 0.6836 0.0000 0.3771
Pt 0.5750 0.5000 0.1531

---

Record 19
The following is a PBE-GGA calculation of a geometry-optimized LaYAg2 structure, from Alexandria via LeMat-Bulk.

Computed properties:
D(E_F): 2.94 states/eV per cell
total magnetic moment: 0.66 μB/f.u.
calculated formation energy: -0.17 eV per atom

a = 3.7681 Å, b = 3.7681 Å, c = 7.4701 Å
α = 90.00°, β = 90.00°, γ = 90.00°
Element x y z (fractional)
La 0.0000 0.0000 0.0000
Y 0.5000 0.5000 0.3416
Ag 0.0000 0.0000 0.5567
Ag 0.5000 0.5000 0.7512

---

Record 20
The following is a PBE-GGA calculation of a geometry-optimized Cs2TmNp2Se6 structure, from Alexandria via LeMat-Bulk.

Computed properties:
D(E_F): 19.78 states/eV per cell
E_form (uncorrected): -1.4068 eV per atom
total magnetic moment: 7.00 μB/f.u.

a = 7.2503 Å, b = 7.2503 Å, c = 8.8997 Å
α = 97.76°, β = 97.76°, γ = 119.96°
Element x y z (fractional)
Cs 0.1660 0.8340 0.0000
Cs 0.8340 0.1660 0.0000
Tm 0.0000 0.0000 0.5000
Np 0.3335 0.6665 0.5000
Np 0.6665 0.3335 0.5000
Se 0.0597 0.3920 0.6805
Se 0.2721 0.2721 0.3197
Se 0.3920 0.0597 0.6805
Se 0.6080 0.9403 0.3195
Se 0.7279 0.7279 0.6803
Se 0.9403 0.6080 0.3195

---

Record 21
The following is a PBE-GGA calculation of a geometry-optimized Tc2Au structure, from Alexandria via LeMat-Bulk.

Computed properties:
D(E_F): 5.89 states/eV per cell
energy above the most stable polymorph in this dataset: 0.575 eV per atom
total magnetic moment: 0.00 μB/f.u.
calculated formation energy: 0.70 eV per atom

a = 8.5311 Å, b = 8.5311 Å, c = 8.5311 Å
α = 155.54°, β = 155.54°, γ = 34.87°
Element x y z (fractional)
Tc 0.2938 0.5438 0.7500
Tc 0.4562 0.7062 0.7500
Tc 0.5438 0.2938 0.2500
Tc 0.7062 0.4562 0.2500
Au 0.1250 0.8750 0.2500
Au 0.8750 0.1250 0.7500

---

Record 22
The following is a PBE-GGA calculation of a geometry-optimized ErTmTlPd structure, from Alexandria via LeMat-Bulk.

Computed properties:
D(E_F): 3.31 states/eV per cell
energy above the most stable polymorph in this dataset: 0.000 eV per atom
total magnetic moment: 0.00 μB/f.u.
calculated formation energy: -0.63 eV per atom

a = 3.5346 Å, b = 3.5346 Å, c = 7.5997 Å
α = 90.00°, β = 90.00°, γ = 90.00°
Element x y z (fractional)
Er 0.0000 0.0000 0.0000
Tm 0.0000 0.0000 0.5566
Tl 0.5000 0.5000 0.2797
Pd 0.5000 0.5000 0.7750

---

Record 23
The following is a PBE-GGA calculation of a geometry-optimized Nd7Y12Pu structure, from Alexandria via LeMat-Bulk.

Computed properties:
D(E_F): 42.40 states/eV per cell
energy above the most stable polymorph in this dataset: 0.000 eV per atom
total magnetic moment: 4.95 μB/f.u.
calculated formation energy: 0.22 eV per atom

a = 8.7920 Å, b = 8.7920 Å, c = 8.7920 Å
α = 89.13°, β = 89.13°, γ = 89.13°
Element x y z (fractional)
Nd 0.0000 0.0000 0.0000
Nd 0.1573 0.6018 0.4965
Nd 0.3982 0.5035 0.8427
Nd 0.4965 0.1573 0.6019
Nd 0.5035 0.8427 0.3982
Nd 0.6019 0.4965 0.1573
Nd 0.8427 0.3982 0.5035
Y 0.0520 0.3801 0.1538
Y 0.1273 0.2626 0.7215
Y 0.1538 0.0520 0.3801
Y 0.2626 0.7215 0.1273
Y 0.2785 0.8727 0.7374
Y 0.3801 0.1538 0.0520
Y 0.6199 0.8462 0.9480
Y 0.7215 0.1273 0.2626
Y 0.7374 0.2785 0.8727
Y 0.8462 0.9480 0.6199
Y 0.8727 0.7374 0.2785
Y 0.9480 0.6199 0.8462
Pu 0.5000 0.5000 0.5000

---

Record 24
The following is a PBE-GGA calculation of a geometry-optimized SiNiHN structure, from Alexandria via LeMat-Bulk.

Computed properties:
D(E_F): 1.77 states/eV per cell
energy above the most stable polymorph in this dataset: 0.159 eV per atom
total magnetic moment: 0.00 μB/f.u.

a = 3.1007 Å, b = 4.2924 Å, c = 4.2924 Å
α = 39.37°, β = 90.00°, γ = 90.00°
Element x y z (fractional)
Si 0.0000 0.0000 0.0000
Ni 0.5000 0.2108 0.2108
H 0.5000 0.6333 0.6333
N 0.0000 0.3790 0.3790